(1)
# Li2ScAl | the Alexandria database | SCAN | PBEsol geometry
data_Li2ScAl
_chemical_formula_sum 'Li2 Sc1 Al1'
_cell_length_a 4.0354
_cell_length_b 4.0354
_cell_length_c 4.6811
_cell_angle_alpha 90.00
_cell_angle_beta 90.00
_cell_angle_gamma 90.00
_space_group_name_H-M_alt 'P 1'
_space_group_IT_number 1
_space_group_name_Hall 'P 1'
loop_
_atom_site_label
_atom_site_fract_x
_atom_site_fract_y
_atom_site_fract_z
_atom_site_occupancy
Li1 0.0000 0.5000 0.0000 1
Li2 0.5000 0.0000 0.0000 1
Sc1 0.0000 0.0000 0.5000 1
Al1 0.5000 0.5000 0.5000 1
# Energy relative to the elements   -0.87 kcal/mol of atoms
# Total energy   -26.920 eV/cell
# SG   P4/mmm, No. 123

(2)
# LiScAl3 | the Alexandria database | SCAN | PBEsol geometry
data_LiScAl3
_chemical_formula_sum 'Li1 Sc1 Al3'
_cell_length_a 4.4122
_cell_length_b 4.4122
_cell_length_c 4.4122
_cell_angle_alpha 90.00
_cell_angle_beta 90.00
_cell_angle_gamma 90.00
_space_group_name_H-M_alt 'P 1'
_space_group_IT_number 1
_space_group_name_Hall 'P 1'
loop_
_atom_site_label
_atom_site_fract_x
_atom_site_fract_y
_atom_site_fract_z
_atom_site_occupancy
Li1 0.0000 0.0000 0.0000 1
Sc1 0.5000 0.5000 0.5000 1
Al1 0.0000 0.0000 0.5000 1
Al2 0.0000 0.5000 0.0000 1
Al3 0.5000 0.0000 0.0000 1
# Energy relative to the elements   4.34 kcal/mol of atoms
# Total energy   -38.942 eV/cell
# SG   Pm-3m, No. 221

(3)
# LiAlSe | the Alexandria database | SCAN | PBEsol geometry
data_LiAlSe
_chemical_formula_sum 'Li1 Al1 Se1'
_cell_length_a 4.5529
_cell_length_b 4.5529
_cell_length_c 4.5529
_cell_angle_alpha 60.00
_cell_angle_beta 60.00
_cell_angle_gamma 60.00
_space_group_name_H-M_alt 'P 1'
_space_group_IT_number 1
_space_group_name_Hall 'P 1'
loop_
_atom_site_label
_atom_site_fract_x
_atom_site_fract_y
_atom_site_fract_z
_atom_site_occupancy
Li1 0.0000 0.0000 0.0000 1
Al1 0.2500 0.2500 0.2500 1
Se1 0.5000 0.5000 0.5000 1
# Total energy   -30.461 eV/cell
# Raw formation energy   -0.080 eV/atom
# SG   F-43m, No. 216

(4)
# LiAl2Si | the Alexandria database | SCAN | PBEsol geometry
data_LiAl2Si
_chemical_formula_sum 'Li1 Al2 Si1'
_cell_length_a 4.8699
_cell_length_b 4.8699
_cell_length_c 2.7874
_cell_angle_alpha 90.00
_cell_angle_beta 90.00
_cell_angle_gamma 112.19
_space_group_name_H-M_alt 'P 1'
_space_group_IT_number 1
_space_group_name_Hall 'P 1'
loop_
_atom_site_label
_atom_site_fract_x
_atom_site_fract_y
_atom_site_fract_z
_atom_site_occupancy
Li1 0.0000 0.0000 0.0000 1
Al1 0.0000 0.5000 0.5000 1
Al2 0.5000 0.0000 0.5000 1
Si1 0.5000 0.5000 0.0000 1
# Total energy   -27.746 eV/cell
# Raw formation energy   0.041 eV/atom
# SG   Cmmm, No. 65

(5)
# LiAlSi | the Alexandria database | SCAN | PBEsol geometry
data_LiAlSi
_chemical_formula_sum 'Li1 Al1 Si1'
_cell_length_a 4.7600
_cell_length_b 4.7600
_cell_length_c 4.7600
_cell_angle_alpha 145.26
_cell_angle_beta 132.90
_cell_angle_gamma 59.83
_space_group_name_H-M_alt 'P 1'
_space_group_IT_number 1
_space_group_name_Hall 'P 1'
loop_
_atom_site_label
_atom_site_fract_x
_atom_site_fract_y
_atom_site_fract_z
_atom_site_occupancy
Li1 0.0000 0.0000 0.0000 1
Al1 0.6774 0.6774 0.0000 1
Si1 0.3319 0.3319 0.0000 1
# Total energy   -20.036 eV/cell
# Raw formation energy   0.041 eV/atom
# SG   Imm2, No. 44

(6)
# LiAlSi2 | the Alexandria database | SCAN | PBEsol geometry
data_LiAlSi2
_chemical_formula_sum 'Li1 Al1 Si2'
_cell_length_a 8.2795
_cell_length_b 8.2795
_cell_length_c 8.2795
_cell_angle_alpha 20.54
_cell_angle_beta 20.54
_cell_angle_gamma 20.54
_space_group_name_H-M_alt 'P 1'
_space_group_IT_number 1
_space_group_name_Hall 'P 1'
loop_
_atom_site_label
_atom_site_fract_x
_atom_site_fract_y
_atom_site_fract_z
_atom_site_occupancy
Li1 0.0000 0.0000 0.0000 1
Al1 0.5000 0.5000 0.5000 1
Si1 0.2478 0.2478 0.2478 1
Si2 0.7522 0.7522 0.7522 1
# Total energy   -29.687 eV/cell
# Raw formation energy   0.122 eV/atom
# SG   R-3m, No. 166

(7)
# LiAlSi2 | the Alexandria database | SCAN | PBEsol geometry
data_LiAlSi2
_chemical_formula_sum 'Li1 Al1 Si2'
_cell_length_a 3.3673
_cell_length_b 3.3673
_cell_length_c 5.1831
_cell_angle_alpha 90.00
_cell_angle_beta 90.00
_cell_angle_gamma 90.00
_space_group_name_H-M_alt 'P 1'
_space_group_IT_number 1
_space_group_name_Hall 'P 1'
loop_
_atom_site_label
_atom_site_fract_x
_atom_site_fract_y
_atom_site_fract_z
_atom_site_occupancy
Li1 0.0000 0.0000 0.0000 1
Al1 0.5000 0.5000 0.7410 1
Si1 0.0000 0.0000 0.4845 1
Si2 0.5000 0.5000 0.2567 1
# Total energy   -29.432 eV/cell
# Raw formation energy   0.185 eV/atom
# SG   P4mm, No. 99

(8)
# LiAlSi2 | the Alexandria database | SCAN | PBEsol geometry
data_LiAlSi2
_chemical_formula_sum 'Li1 Al1 Si2'
_cell_length_a 2.6783
_cell_length_b 4.1621
_cell_length_c 5.2512
_cell_angle_alpha 90.00
_cell_angle_beta 90.00
_cell_angle_gamma 90.00
_space_group_name_H-M_alt 'P 1'
_space_group_IT_number 1
_space_group_name_Hall 'P 1'
loop_
_atom_site_label
_atom_site_fract_x
_atom_site_fract_y
_atom_site_fract_z
_atom_site_occupancy
Li1 0.0000 0.0000 0.0000 1
Al1 0.5000 0.5000 0.7290 1
Si1 0.0000 0.0000 0.4950 1
Si2 0.5000 0.5000 0.2296 1
# Total energy   -29.392 eV/cell
# Raw formation energy   0.195 eV/atom
# SG   Pmm2, No. 25